No. 1
The following is a DFT calculation (PBE) of a relaxed Ac2Pm3Sn5 crystal.

It has space group Ibam (No. 72), with a = 12.142 Å, b = 16.450 Å, c = 6.853 Å, α = 90.00°, β = 90.00° and γ = 90.00°. Symmetry generates all atoms from Ac at (0.240, 0.106, 0.000), Pm at (0.000, 0.500, 0.250), Pm at (0.072, 0.151, 0.500), Sn at (0.000, 0.000, 0.250), Sn at (0.000, 0.308, 0.250) and Sn at (0.183, 0.403, 0.000).

***

No. 2
The following is a DFT calculation (PBE) of a relaxed AcPmSn crystal.

Its polymorph energy (0 for the lowest one) is 0.0 meV/atom.

It has space group P4/nmm (No. 129, origin choice 2), with a = 4.852 Å, b = 4.852 Å, c = 8.972 Å, α = 90.00°, β = 90.00° and γ = 90.00°. Symmetry generates all atoms from Ac at (0.250, 0.250, 0.147), Pm at (0.250, 0.750, 0.500) and Sn at (0.250, 0.250, 0.757).

***

No. 3
The following is a DFT calculation (PBE) of a relaxed AcPmSn2 crystal.

Its polymorph energy (0 for the lowest one) is 113.0 meV/atom.

It has space group P4/mmm (No. 123), with a = 5.211 Å, b = 5.211 Å, c = 4.590 Å, α = 90.00°, β = 90.00° and γ = 90.00°. Symmetry generates all atoms from Ac at (0.000, 0.000, 0.000), Pm at (0.500, 0.500, 0.000) and Sn at (0.000, 0.500, 0.500).

***

No. 4
The following is a DFT calculation (PBE) of a relaxed Ac3Pm2Sn3 crystal.

Its polymorph energy (0 for the lowest one) is 134.1 meV/atom.

It has space group Immm (No. 71), with a = 4.476 Å, b = 5.195 Å, c = 23.811 Å, α = 90.00°, β = 90.00° and γ = 90.00°. Symmetry generates all atoms from Ac at (0.000, 0.000, 0.000), Ac at (0.000, 0.500, 0.118), Pm at (0.000, 0.000, 0.258), Sn at (0.000, 0.000, 0.500) and Sn at (0.000, 0.500, 0.347).

***

Here are the calculated formation energy numbers, same order: -0.487 -0.566 -0.599 -0.515 (eV per atom).
Here are the calculated raw total energy numbers, same order: -4.736 -4.853 -4.815 -4.745 (eV/atom).